(1)
VASP calculation (PBE-GGA) on crystalline Al2Ag13 at its relaxed geometry.

The polymorph energy (0 for the lowest one) comes out at 0 meV per atom. The space group is No. 2. The calculated formation energy comes out at -14 meV per atom. Its electronic total energy is -44.76 eV/cell.

Cell: 5.0162 7.1521 7.7702 Å, 108.03 95.85 90.73°
Atoms (fractional coordinates):
Al  0.0697  0.1385  0.3948
Al  0.9303  0.8615  0.6052
Ag  0.0000  0.0000  0.0000
Ag  0.1354  0.2521  0.7871
Ag  0.1986  0.3975  0.1980
Ag  0.2624  0.5247  0.5980
Ag  0.3326  0.6637  0.0029
Ag  0.3852  0.8048  0.4087
Ag  0.4687  0.9292  0.7982
Ag  0.5313  0.0708  0.2018
Ag  0.6148  0.1952  0.5913
Ag  0.6674  0.3363  0.9971
Ag  0.7376  0.4753  0.4020
Ag  0.8014  0.6025  0.8020
Ag  0.8646  0.7479  0.2129

---

(2)
VASP calculation (PBE-GGA) on crystalline Al3Ag at its relaxed geometry.

The space group is No. 11. The calculated formation energy comes out at -9 meV per atom. Its electronic total energy is -28.23 eV/cell.

Cell: 5.7184 2.8722 8.6150 Å, 90.00 108.65 90.00°
Atoms (fractional coordinates):
Al  0.0595  0.2500  0.3695
Al  0.3059  0.2500  0.8782
Al  0.4306  0.7500  0.6251
Al  0.5694  0.2500  0.3749
Al  0.6941  0.7500  0.1218
Al  0.9405  0.7500  0.6305
Ag  0.2013  0.7500  0.1296
Ag  0.7987  0.2500  0.8704

---

(3)
VASP calculation (PBE-GGA) on crystalline AlAg at its relaxed geometry.

The space group is No. 3. The calculated formation energy comes out at -7 meV per atom. Its electronic total energy is -26.43 eV/cell.

Cell: 4.8202 5.7236 5.2328 Å, 90.00 108.98 90.00°
Atoms (fractional coordinates):
Al  0.0000  0.0000  0.0000
Al  0.0000  0.2406  0.5000
Al  0.0000  0.7446  0.5000
Al  0.5000  0.7363  0.0000
Ag  0.0000  0.5080  0.0000
Ag  0.5000  0.2290  0.0000
Ag  0.5000  0.4941  0.5000
Ag  0.5000  0.9905  0.5000

---

(4)
VASP calculation (PBE-GGA) on crystalline Al4Ag5 at its relaxed geometry.

The polymorph energy (0 for the lowest one) comes out at 6 meV per atom. The space group is No. 12. The calculated formation energy comes out at -27 meV per atom. Its electronic total energy is -29.47 eV/cell.

Cell: 6.4678 6.4678 6.7407 Å, 111.31 111.31 36.04°
Atoms (fractional coordinates):
Al  0.1630  0.1630  0.4916
Al  0.2797  0.2797  0.1685
Al  0.7203  0.7203  0.8315
Al  0.8370  0.8370  0.5084
Ag  0.0619  0.0619  0.8366
Ag  0.3765  0.3765  0.8190
Ag  0.5000  0.5000  0.5000
Ag  0.6235  0.6235  0.1810
Ag  0.9381  0.9381  0.1634

---

(5)
VASP calculation (PBE-GGA) on crystalline Al3Ag at its relaxed geometry.

The space group is No. 62. The calculated formation energy comes out at 4 meV per atom. Its electronic total energy is -56.25 eV/cell.

Cell: 5.0574 9.2049 5.7752 Å, 90.00 90.00 90.00°
Atoms (fractional coordinates):
Al  0.0812  0.2500  0.1195
Al  0.2470  0.5010  0.3701
Al  0.2470  0.9990  0.3701
Al  0.2530  0.0010  0.8701
Al  0.2530  0.4990  0.8701
Al  0.4188  0.7500  0.6195
Al  0.5812  0.2500  0.3805
Al  0.7470  0.5010  0.1299
Al  0.7470  0.9990  0.1299
Al  0.7530  0.0010  0.6299
Al  0.7530  0.4990  0.6299
Al  0.9188  0.7500  0.8805
Ag  0.0853  0.2500  0.6128
Ag  0.4147  0.7500  0.1128
Ag  0.5853  0.2500  0.8872
Ag  0.9147  0.7500  0.3872

---

(6)
VASP calculation (PBE-GGA) on crystalline Al5Ag6 at its relaxed geometry.

The polymorph energy (0 for the lowest one) comes out at 4 meV per atom. The space group is No. 1. The calculated formation energy comes out at -24 meV per atom. Its electronic total energy is -36.08 eV/cell.

Cell: 4.8857 4.9682 7.9139 Å, 98.40 93.34 98.33°
Atoms (fractional coordinates):
Al  0.0000  0.0000  0.0000
Al  0.0989  0.5383  0.1909
Al  0.2014  0.0856  0.3694
Al  0.4557  0.7230  0.8990
Al  0.8379  0.8992  0.6359
Ag  0.3024  0.6380  0.5404
Ag  0.3676  0.1775  0.7244
Ag  0.5338  0.2509  0.0909
Ag  0.6555  0.8034  0.2657
Ag  0.7563  0.3449  0.4595
Ag  0.9180  0.4642  0.8358

---

(7)
VASP calculation (PBE-GGA) on crystalline Al2Ag3 at its relaxed geometry.

The polymorph energy (0 for the lowest one) comes out at 8 meV per atom. The space group is No. 2. The calculated formation energy comes out at -37 meV per atom. Its electronic total energy is -32.44 eV/cell.

Cell: 5.0297 5.7430 6.4923 Å, 103.66 99.77 105.44°
Atoms (fractional coordinates):
Al  0.0136  0.2531  0.0014
Al  0.4033  0.0523  0.7874
Al  0.5967  0.9477  0.2126
Al  0.9864  0.7469  0.9986
Ag  0.1804  0.1412  0.3830
Ag  0.2175  0.6529  0.3905
Ag  0.3879  0.5708  0.8146
Ag  0.6121  0.4292  0.1854
Ag  0.7825  0.3471  0.6095
Ag  0.8196  0.8588  0.6170

---

(8)
VASP calculation (PBE-GGA) on crystalline Al5Ag6 at its relaxed geometry.

The polymorph energy (0 for the lowest one) comes out at 10 meV per atom. The space group is No. 12. The calculated formation energy comes out at -18 meV per atom. Its electronic total energy is -36.02 eV/cell.

Cell: 5.1618 5.1618 10.5900 Å, 105.80 105.80 43.84°
Atoms (fractional coordinates):
Al  0.0000  0.0000  0.0000
Al  0.0963  0.0963  0.6347
Al  0.2788  0.2788  0.9073
Al  0.7212  0.7212  0.0927
Al  0.9037  0.9037  0.3653
Ag  0.1753  0.1753  0.2643
Ag  0.3710  0.3710  0.5466
Ag  0.4350  0.4350  0.1710
Ag  0.5650  0.5650  0.8290
Ag  0.6290  0.6290  0.4534
Ag  0.8247  0.8247  0.7357

---

no.,DOS(E_F) (states/eV per atom)
1,0.24
2,0.36
3,0.42
4,0.32
5,0.27
6,0.33
7,0.31
8,0.36